# Rb2LaV2O6 (GGA+U, relaxed)
data_Rb2LaV2O6
_chemical_formula_sum 'Rb6 La3 V6 O18'
_cell_length_a 6.2876
_cell_length_b 6.2876
_cell_length_c 19.0600
_cell_angle_alpha 90.00
_cell_angle_beta 90.00
_cell_angle_gamma 120.00
_space_group_name_H-M_alt 'R -3 m'
_space_group_IT_number 166
_space_group_name_Hall '-R 3 2"'
loop_
_atom_site_label
_atom_site_type_symbol
_atom_site_fract_x
_atom_site_fract_y
_atom_site_fract_z
Rb1 Rb 0.0000 0.0000 0.2098
La1 La 0.0000 0.0000 0.0000
V1 V 0.0000 0.0000 0.4214
O1 O 0.0116 0.5058 0.2533
# Uncorrected energy: -6.832 eV per atom